[1]
The following is a DFT calculation (PBE-GGA) of an optimized crystal structure of Th6TlTc2.

Lattice parameters (Å, degrees): 8.749 8.749 8.749 101.73 112.47 114.48
Positions (direct):
Th (0.307, 0.975, 0.668)
Th (0.795, 0.239, 0.033)
Th (0.519, 0.703, 0.816)
Th (0.112, 0.297, 0.816)
Th (0.795, 0.761, 0.556)
Th (0.888, 0.703, 0.184)
Th (0.693, 0.361, 0.668)
Th (0.205, 0.239, 0.444)
Th (0.481, 0.297, 0.184)
Th (0.205, 0.761, 0.967)
Th (0.693, 0.025, 0.332)
Th (0.307, 0.639, 0.332)
Tc (0.668, 0.000, 0.668)
Tc (0.500, 0.636, 0.136)
Tc (0.500, 0.364, 0.864)
Tc (0.332, 0.000, 0.332)
Tl (0.000, 0.500, 0.500)
Tl (0.000, 0.000, 0.000)

---

[2]
The following is a DFT calculation (PBE-GGA) of an optimized crystal structure of Th2TlTc.

Lattice parameters (Å, degrees): 4.090 4.090 8.616 76.27 76.27 60.00
Positions (direct):
Th (0.272, 0.272, 0.185)
Th (0.062, 0.062, 0.815)
Tl (0.499, 0.499, 0.502)
Tc (0.667, 0.667, 0.999)

---

[3]
The following is a DFT calculation (PBE-GGA) of an optimized crystal structure of Th4Tl5Tc2.

Lattice parameters (Å, degrees): 3.813 8.185 9.752 93.69 90.00 90.00
Positions (direct):
Tl (0.000, 0.151, 0.136)
Tl (0.000, 0.536, 0.337)
Tl (0.000, 0.849, 0.864)
Tl (0.000, 0.464, 0.663)
Tl (0.000, 0.500, 0.000)
Th (0.500, 0.810, 0.163)
Th (0.500, 0.797, 0.565)
Th (0.500, 0.203, 0.435)
Th (0.500, 0.190, 0.837)
Tc (0.000, 0.908, 0.360)
Tc (0.000, 0.092, 0.640)

---

[4]
The following is a DFT calculation (PBE-GGA) of an optimized crystal structure of ThTlTc.

Output
energy relative to the lowest polymorph listed for this composition: 0.000 eV per atom

Lattice parameters (Å, degrees): 3.987 4.063 9.325 102.58 90.00 90.00
Positions (direct):
Th (0.750, 0.088, 0.175)
Th (0.250, 0.912, 0.825)
Tl (0.250, 0.710, 0.420)
Tl (0.750, 0.290, 0.580)
Tc (0.250, 0.553, 0.106)
Tc (0.750, 0.447, 0.894)

---

[5]
The following is a DFT calculation (PBE-GGA) of an optimized crystal structure of Th2TlTc.

Lattice parameters (Å, degrees): 4.089 4.089 8.529 90.12 103.77 119.96
Positions (direct):
Th (0.542, 0.271, 0.813)
Th (0.458, 0.729, 0.187)
Tc (0.000, 0.000, 0.000)
Tl (0.000, 0.500, 0.500)

---

[6]
The following is a DFT calculation (PBE-GGA) of an optimized crystal structure of Th2TlTc.

Lattice parameters (Å, degrees): 3.478 3.478 8.770 90.00 90.00 90.00
Positions (direct):
Tl (0.500, 0.500, 0.500)
Th (0.000, 0.000, 0.797)
Th (0.000, 0.000, 0.203)
Tc (0.500, 0.500, 0.000)

---

[7]
The following is a DFT calculation (PBE-GGA) of an optimized crystal structure of Th12TlTc6.

Output
energy relative to the lowest polymorph listed for this composition: 0.120 eV per atom

Lattice parameters (Å, degrees): 8.598 8.598 8.598 104.17 104.17 104.17
Positions (direct):
Th (0.868, 0.500, 0.132)
Th (0.132, 0.868, 0.500)
Th (0.448, 0.448, 0.187)
Th (0.448, 0.187, 0.448)
Th (0.500, 0.132, 0.868)
Th (0.132, 0.500, 0.868)
Th (0.868, 0.132, 0.500)
Th (0.552, 0.813, 0.552)
Th (0.552, 0.552, 0.813)
Th (0.813, 0.552, 0.552)
Th (0.500, 0.868, 0.132)
Th (0.187, 0.448, 0.448)
Tc (0.641, 0.229, 0.229)
Tc (0.229, 0.229, 0.641)
Tc (0.229, 0.641, 0.229)
Tc (0.771, 0.771, 0.359)
Tc (0.771, 0.359, 0.771)
Tc (0.359, 0.771, 0.771)
Tl (0.000, 0.000, 0.000)

---

[8]
The following is a DFT calculation (PBE-GGA) of an optimized crystal structure of Th4Tl2Tc.

Lattice parameters (Å, degrees): 3.896 9.800 6.834 120.05 90.00 90.00
Positions (direct):
Th (0.000, 0.735, 0.826)
Th (0.000, 0.407, 0.318)
Th (0.500, 0.079, 0.805)
Th (0.500, 0.064, 0.337)
Tc (0.000, 0.071, 0.071)
Tl (0.500, 0.429, 0.809)
Tl (0.500, 0.714, 0.334)

---

Per-record density of states at the Fermi level, states/eV/f.u.: 11.4 2.8 8.4 2.9 2.6 2.8 18.1 7.6
Per-record energy relative to the elements, eV per atom: -0.10 -0.05 -0.15 -0.12 -0.08 -0.16 0.07 0.10
Per-record electronic total energy, eV/f.u.: -68.6 -27.8 -63.9 -20.5 -27.9 -28.2 -152.3 -44.0